No. 1
A relaxed ZrGeRh crystal, computed with GGA-PBE.

As for the density of states at the Fermi level: 9.03 states/eV per cell. As for the calculated formation energy: -272 kJ/mol of formula units.

Cell lengths 4.028, 6.645, 7.628 Å; angles 90.00, 90.00, 90.00 degrees
Fractional positions:
1 Rh 0.250 0.353 0.434
2 Zr 0.750 0.522 0.191
3 Ge 0.250 0.234 0.116
4 Zr 0.750 0.022 0.309
5 Zr 0.250 0.978 0.691
6 Rh 0.250 0.853 0.066
7 Rh 0.750 0.647 0.566
8 Ge 0.750 0.766 0.884
9 Rh 0.750 0.147 0.934
10 Ge 0.250 0.734 0.384
11 Zr 0.250 0.478 0.809
12 Ge 0.750 0.266 0.616

***

No. 2
A relaxed ZrGeRh3 crystal, computed with GGA-PBE.

The polymorph energy (0 for the lowest one) comes out at 0.000 eV/f.u. As for the density of states at the Fermi level: 13.62 states/eV per cell. As for the calculated formation energy: -182 kJ/mol of formula units.

Cell lengths 6.269, 6.269, 9.030 Å; angles 90.00, 90.00, 90.61 degrees
Fractional positions:
1 Ge 0.000 0.500 0.000
2 Ge 0.500 0.000 0.000
3 Ge 0.000 0.500 0.500
4 Rh 0.654 0.346 0.000
5 Rh 0.346 0.654 0.500
6 Zr 0.583 0.583 0.750
7 Zr 0.417 0.417 0.250
8 Rh 0.839 0.839 0.988
9 Rh 0.654 0.346 0.500
10 Rh 0.456 0.145 0.750
11 Rh 0.346 0.654 0.000
12 Rh 0.855 0.544 0.250
13 Rh 0.839 0.839 0.512
14 Zr 0.979 0.979 0.250
15 Rh 0.145 0.456 0.750
16 Ge 0.500 0.000 0.500
17 Rh 0.544 0.855 0.250
18 Rh 0.161 0.161 0.012
19 Rh 0.161 0.161 0.488
20 Zr 0.021 0.021 0.750

***

No. 3
A relaxed ZrGe2Rh crystal, computed with GGA-PBE.

As for the density of states at the Fermi level: 5.89 states/eV per cell. As for the calculated formation energy: -108 kJ/mol of formula units.

Cell lengths 4.056, 4.056, 9.560 Å; angles 77.75, 77.75, 90.00 degrees
Fractional positions:
1 Ge 0.375 0.327 0.750
2 Ge 0.673 0.125 0.250
3 Rh 0.000 0.000 0.000
4 Ge 0.077 0.625 0.250
5 Zr 0.500 0.500 0.000
6 Zr 0.250 0.750 0.500
7 Rh 0.750 0.250 0.500
8 Ge 0.875 0.923 0.750